No. 1
# CoPdW

A relaxed CoPdW crystal (PBE-GGA, the Alexandria database).

Geometry as extended XYZ:
```
3
Lattice="4.2352 0.0000 0.0000 -2.1176 3.6678 0.0000 0.0000 0.0000 2.7083" Properties=species:S:1:pos:R:3 pbc="T T T"
Co 0.0000 0.0000 0.0000
Pd 2.1176 1.2226 1.1428
W 0.0000 2.4452 2.3133
```

Calculated values
Size of the total moment: 0.00 μB per formula unit
ΔH_f (0 K): 0.171 eV/atom
Symmetry: P3m1 (156)
Mass density: 13.783 Mg/m³
Polymorph energy (0 for the lowest one): 9.63 kJ per mole of atoms

=====

No. 2
# Tm3AgHg

A relaxed Tm3AgHg crystal (PBE-GGA, the Alexandria database).

Geometry as extended XYZ:
```
10
Lattice="8.2765 0.0000 0.0000 0.0000 3.5772 0.0000 -3.1161 0.0000 8.9420" Properties=species:S:1:pos:R:3 pbc="T T T"
Tm 0.0000 0.0000 0.0000
Tm -1.0885 0.0000 3.4100
Tm -0.8367 1.7886 6.9294
Tm 3.4316 0.0000 0.7626
Tm 2.2598 0.0000 6.9138
Tm 3.8182 1.7886 3.8003
Ag 1.2500 1.7886 1.9705
Ag 1.0373 1.7886 4.7578
Hg 5.9266 1.7886 1.0932
Hg 5.1473 0.0000 5.8548
```

Calculated values
Size of the total moment: 0.00 μB per formula unit
ΔH_f (0 K): -0.207 eV/atom
Symmetry: Pm (6)
Mass density: 10.227 Mg/m³
Polymorph energy (0 for the lowest one): 9.14 kJ per mole of atoms